Entry 1:
Below is a relaxed structure of LiZn2H, with properties calculated at the PBE level.

a b c (Å): 4.1600 4.1600 4.1600
angles (deg): 60.00 60.00 60.00
Fractional positions:
Li  0.5000  0.5000  0.5000
H  0.0000  0.0000  0.0000
Zn  0.7500  0.7500  0.7500
Zn  0.2500  0.2500  0.2500

Results
Crystal system: cubic
E in eV/atom: -1.541
SG: No. 225

=====

Entry 2:
Below is a relaxed structure of LiZnH4, with properties calculated at the PBE level.

a b c (Å): 3.6598 3.6598 4.7819
angles (deg): 112.50 112.50 90.00
Fractional positions:
H  0.4897  0.9897  0.9793
H  0.6983  0.6983  0.3966
H  0.3017  0.3017  0.6034
H  0.0103  0.5103  0.0207
Li  0.2500  0.7500  0.5000
Zn  0.5000  0.5000  0.0000

Results
Crystal system: tetragonal
E in eV/atom: -2.610
SG: No. 119